# LiI2O2 (PBE, optimized geometry)
# * space-group type: P4/mmm, No. 123
data_LiI2O2
_space_group_name_H-M_alt 'P 1'
_space_group_IT_number 1
_cell_length_a 5.2174
_cell_length_b 5.2174
_cell_length_c 3.3778
_cell_angle_alpha 90.00
_cell_angle_beta 90.00
_cell_angle_gamma 90.00
loop_
_space_group_symop_operation_xyz
'x,y,z'
loop_
_atom_site_label
_atom_site_type_symbol
_atom_site_fract_x
_atom_site_fract_y
_atom_site_fract_z
_atom_site_occupancy
I1 I 0.0000 0.5000 0.0000 1
I2 I 0.5000 0.0000 0.0000 1
O1 O 0.5000 0.5000 0.5000 1
O2 O 0.0000 0.0000 0.5000 1
Li1 Li 0.0000 0.0000 0.0000 1

---

# LiIO (PBE, optimized geometry)
# * space-group type: P4/mmm, No. 123
data_LiIO
_space_group_name_H-M_alt 'P 1'
_space_group_IT_number 1
_cell_length_a 4.2550
_cell_length_b 3.6519
_cell_length_c 4.2550
_cell_angle_alpha 90.00
_cell_angle_beta 90.00
_cell_angle_gamma 90.00
loop_
_space_group_symop_operation_xyz
'x,y,z'
loop_
_atom_site_label
_atom_site_type_symbol
_atom_site_fract_x
_atom_site_fract_y
_atom_site_fract_z
_atom_site_occupancy
I1 I 0.0000 0.0000 0.0000 1
O1 O 0.5000 0.5000 0.5000 1
Li1 Li 0.5000 0.0000 0.5000 1

---

# Li12IO6 (PBE, optimized geometry)
# * space-group type: R-3m, No. 166
data_Li12IO6
_space_group_name_H-M_alt 'P 1'
_space_group_IT_number 1
_cell_length_a 6.0578
_cell_length_b 6.0578
_cell_length_c 6.0578
_cell_angle_alpha 105.05
_cell_angle_beta 105.05
_cell_angle_gamma 105.05
loop_
_space_group_symop_operation_xyz
'x,y,z'
loop_
_atom_site_label
_atom_site_type_symbol
_atom_site_fract_x
_atom_site_fract_y
_atom_site_fract_z
_atom_site_occupancy
Li1 Li 0.8764 0.1236 0.5000 1
Li2 Li 0.8060 0.5331 0.5331 1
Li3 Li 0.5331 0.5331 0.8060 1
Li4 Li 0.4669 0.1940 0.4669 1
Li5 Li 0.4669 0.4669 0.1940 1
Li6 Li 0.1940 0.4669 0.4669 1
Li7 Li 0.1236 0.5000 0.8764 1
Li8 Li 0.5000 0.8764 0.1236 1
Li9 Li 0.1236 0.8764 0.5000 1
Li10 Li 0.8764 0.5000 0.1236 1
Li11 Li 0.5000 0.1236 0.8764 1
Li12 Li 0.5331 0.8060 0.5331 1
I1 I 0.0000 0.0000 0.0000 1
O1 O 0.6387 0.2414 0.2414 1
O2 O 0.2414 0.2414 0.6387 1
O3 O 0.2414 0.6387 0.2414 1
O4 O 0.7586 0.7586 0.3613 1
O5 O 0.3613 0.7586 0.7586 1
O6 O 0.7586 0.3613 0.7586 1

---

# Li5I2O2 (PBE, optimized geometry)
# * space-group type: C2/m, No. 12
data_Li5I2O2
_space_group_name_H-M_alt 'P 1'
_space_group_IT_number 1
_cell_length_a 3.5757
_cell_length_b 6.1716
_cell_length_c 7.7581
_cell_angle_alpha 99.72
_cell_angle_beta 90.00
_cell_angle_gamma 106.84
loop_
_space_group_symop_operation_xyz
'x,y,z'
loop_
_atom_site_label
_atom_site_type_symbol
_atom_site_fract_x
_atom_site_fract_y
_atom_site_fract_z
_atom_site_occupancy
Li1 Li 0.3150 0.6300 0.0078 1
Li2 Li 0.6850 0.3700 0.9922 1
Li3 Li 0.1284 0.2568 0.6843 1
Li4 Li 0.8716 0.7432 0.3157 1
Li5 Li 0.0000 0.0000 0.0000 1
I1 I 0.3865 0.7730 0.6503 1
I2 I 0.6135 0.2270 0.3497 1
O1 O 0.1439 0.2877 0.9232 1
O2 O 0.8561 0.7123 0.0768 1

---

# LiIO2 (PBE, optimized geometry)
# * space-group type: R-3m, No. 166
data_LiIO2
_space_group_name_H-M_alt 'P 1'
_space_group_IT_number 1
_cell_length_a 5.4427
_cell_length_b 5.4427
_cell_length_c 5.4427
_cell_angle_alpha 42.38
_cell_angle_beta 42.38
_cell_angle_gamma 42.38
loop_
_space_group_symop_operation_xyz
'x,y,z'
loop_
_atom_site_label
_atom_site_type_symbol
_atom_site_fract_x
_atom_site_fract_y
_atom_site_fract_z
_atom_site_occupancy
I1 I 0.5000 0.5000 0.5000 1
O1 O 0.8757 0.8757 0.8757 1
O2 O 0.1243 0.1243 0.1243 1
Li1 Li 0.0000 0.0000 0.0000 1

---

# Li4IO2 (PBE, optimized geometry)
# * space-group type: Fd-3m, No. 227
data_Li4IO2
_space_group_name_H-M_alt 'P 1'
_space_group_IT_number 1
_cell_length_a 6.5960
_cell_length_b 6.5959
_cell_length_c 6.5997
_cell_angle_alpha 60.01
_cell_angle_beta 60.01
_cell_angle_gamma 60.00
loop_
_space_group_symop_operation_xyz
'x,y,z'
loop_
_atom_site_label
_atom_site_type_symbol
_atom_site_fract_x
_atom_site_fract_y
_atom_site_fract_z
_atom_site_occupancy
Li1 Li 0.1591 0.1590 0.5230 1
Li2 Li 0.5909 0.5910 0.2269 1
Li3 Li 0.5233 0.1589 0.1588 1
Li4 Li 0.1589 0.5233 0.1589 1
Li5 Li 0.1588 0.1588 0.1591 1
Li6 Li 0.2267 0.5911 0.5913 1
Li7 Li 0.5911 0.2267 0.5912 1
Li8 Li 0.5912 0.5912 0.5909 1
I1 I 0.7499 0.7499 0.7504 1
I2 I 0.0002 0.0002 0.9995 1
O1 O 0.3750 0.3750 0.8751 1
O2 O 0.8750 0.3750 0.3750 1
O3 O 0.3750 0.8750 0.3750 1
O4 O 0.3750 0.3750 0.3750 1

---

no.,size of the total moment (Bohr magnetons per cell),formation energy without anion corrections (eV/f.u.)
1,0.00,2.638
2,1.75,-0.756
3,0.00,-28.832
4,0.43,-11.939
5,0.00,-1.739
6,2.04,-9.286